VGeO4: relaxed, PBE with a Hubbard U.

```
data_VGeO4
_chemical_formula_sum 'V1 Ge1 O4'
_symmetry_space_group_name_H-M 'P 1'
_symmetry_Int_Tables_number 1
_symmetry_space_group_name_Hall 'P 1'
_cell_length_a 5.2385
_cell_length_b 5.2385
_cell_length_c 5.5480
_cell_angle_alpha 118.17
_cell_angle_beta 118.17
_cell_angle_gamma 90.00
loop_
_atom_site_label
_atom_site_fract_x
_atom_site_fract_y
_atom_site_fract_z
O1 0.7550 0.3803 0.2603
O2 0.5053 0.8800 0.2603
O3 0.6197 0.4947 0.7397
O4 0.1200 0.2450 0.7397
V1 0.5000 0.5000 0.0000
Ge1 0.7500 0.2500 0.5000
```

Properties
SG: No. 82
Size of the total moment: 1.0 μB/f.u.
VASP energy: -7.044 eV/atom